{"formula": "NbFeCuF2", "functional": "PBE+U", "state": "relaxed", "lattice_angstrom": [[3.838, 0.000, 0.000], [0.000, 3.838, 0.000], [0.000, 0.000, 5.609]], "species": ["Nb", "Fe", "Cu", "F", "F"], "fractional_positions": [[0.000, 0.000, 0.000], [0.000, 0.000, 0.500], [0.500, 0.500, 0.000], [0.000, 0.500, 0.500], [0.500, 0.000, 0.500]], "dos_ef_per_ev_cell": 3.3, "vol_a3_per_atom": 16.52, "dft_energy_ev_per_atom": -5.06, "space_group": "No. 123"}